A relaxed structure of Ca2HgClO3, computed with GGA-PBE.

Geometry as CIF:
```
data_Ca2HgClO3
_cell_length_a 6.9060
_cell_length_b 6.9060
_cell_length_c 18.5820
_cell_angle_alpha 90.00
_cell_angle_beta 90.00
_cell_angle_gamma 120.00
_space_group_name_H-M_alt 'R -3 m'
_space_group_IT_number 166
_space_group_name_Hall '-R 3 2"'
loop_
_atom_site_label
_atom_site_type_symbol
_atom_site_fract_x
_atom_site_fract_y
_atom_site_fract_z
_atom_site_occupancy
Ca1 Ca 0.0000 0.0000 0.0000 1
Ca2 Ca 0.0000 0.5000 0.5000 1
Hg1 Hg 0.0000 0.0000 0.4174 1
Cl1 Cl 0.0000 0.0000 0.2657 1
O1 O 0.0362 0.5181 0.7601 1
```

Values from the calculation:
For the uncorrected formation energy, the calculation gives -1.676 eV per atom. Its total magnetization is 1.01 μB/f.u. The electronic total energy is -196.6 eV for the cell shown. For the density, the calculation gives 4.728 g cm⁻³.

=====

A relaxed structure of CaHgP2Cl, computed with GGA-PBE.

Geometry as CIF:
```
data_CaHgP2Cl
_cell_length_a 5.557
_cell_length_b 5.557
_cell_length_c 5.192
_cell_angle_alpha 90.00
_cell_angle_beta 90.00
_cell_angle_gamma 90.00
_space_group_name_H-M_alt 'P 4/m m m'
_space_group_IT_number 123
_space_group_name_Hall '-P 4 2'
loop_
_atom_site_label
_atom_site_type_symbol
_atom_site_fract_x
_atom_site_fract_y
_atom_site_fract_z
_atom_site_occupancy
Ca1 Ca 0.000 0.000 0.000 1
Hg1 Hg 0.500 0.500 0.500 1
P1 P 0.000 0.500 0.000 1
Cl1 Cl 0.000 0.000 0.500 1
```

Values from the calculation:
For the uncorrected formation energy, the calculation gives 0.314 eV per atom. Its total magnetization is 1.97 μB/f.u. As for the energy above the most stable polymorph in this dataset: 190 meV/atom. The electronic total energy is -13.4 eV for the cell shown. For the density, the calculation gives 3.501 g cm⁻³.

=====

A relaxed structure of CaHgP2Cl, computed with GGA-PBE.

Geometry as CIF:
```
data_CaHgP2Cl
_cell_length_a 4.896
_cell_length_b 4.896
_cell_length_c 5.747
_cell_angle_alpha 90.00
_cell_angle_beta 90.00
_cell_angle_gamma 90.00
_space_group_name_H-M_alt 'P 4/m m m'
_space_group_IT_number 123
_space_group_name_Hall '-P 4 2'
loop_
_atom_site_label
_atom_site_type_symbol
_atom_site_fract_x
_atom_site_fract_y
_atom_site_fract_z
_atom_site_occupancy
Ca1 Ca 0.000 0.000 0.000 1
Hg1 Hg 0.500 0.500 0.500 1
P1 P 0.000 0.500 0.500 1
Cl1 Cl 0.500 0.500 0.000 1
```

Values from the calculation:
For the uncorrected formation energy, the calculation gives 0.124 eV per atom. Its total magnetization is 0.51 μB/f.u. As for the energy above the most stable polymorph in this dataset: 0 meV/atom. The electronic total energy is -14.4 eV for the cell shown. For the density, the calculation gives 4.075 g cm⁻³.